Computed, not measured: a relaxed NdDyS2F2 crystal at the PBE level of DFT.

Lattice parameters (Å, degrees): 3.8155 3.8155 6.8422 90.00 90.00 90.00
Space group P4mm (No. 99)
Unique sites:
Nd (0.0000, 0.0000, 0.0000)
Dy (0.5000, 0.5000, 0.4587)
S (0.0000, 0.0000, 0.5788)
S (0.5000, 0.5000, 0.8654)
F (0.0000, 0.5000, 0.2343)

## Properties
Raw total energy (Ry per atom): -0.481